No. 1
! PmGeH2O4 | the Open Quantum Materials Database | PBE-GGA | optimized geometry; values from VASP
&SYSTEM
  ibrav = 0, nat = 16, ntyp = 4
/
ATOMIC_SPECIES
Pm 145.00 Pm.upf
Ge 72.64 Ge.upf
H 1.01 H.upf
O 16.00 O.upf
ATOMIC_POSITIONS angstrom
Pm 0.000 0.000 0.000
Pm 2.558 2.594 1.724
Ge 5.116 5.188 3.664
Ge 7.674 7.782 5.388
H 7.203 5.053 2.499
H 4.645 2.730 4.223
H 3.029 5.324 2.499
H 5.587 7.647 4.223
O 8.269 3.855 3.160
O 6.486 5.718 2.234
O 3.928 2.064 3.958
O 3.746 4.659 2.234
O 5.711 3.927 4.884
O 6.304 8.312 3.958
O 4.521 6.449 4.884
O 1.963 6.521 3.160
CELL_PARAMETERS angstrom
0.000 5.188 3.448
5.116 0.000 3.448
5.116 5.188 0.000
! Relative energy among the computed polymorphs = 0 meV per atom
! Total energy = -6.26 eV per atom

***

No. 2
! PmGeHO4 | the Open Quantum Materials Database | PBE-GGA | optimized geometry; values from VASP
&SYSTEM
  ibrav = 0, nat = 28, ntyp = 4
/
ATOMIC_SPECIES
Pm 145.00 Pm.upf
Ge 72.64 Ge.upf
H 1.01 H.upf
O 16.00 O.upf
ATOMIC_POSITIONS angstrom
Pm 1.381 0.938 0.737
Pm 0.092 2.476 4.015
Pm 5.235 4.352 2.541
Pm 3.946 5.890 5.819
Ge 1.570 4.150 0.871
Ge 0.281 6.091 4.149
Ge 5.047 0.736 2.406
Ge 3.758 2.678 5.684
H 1.344 4.657 5.773
H 2.634 5.584 2.495
H 2.694 1.243 4.060
H 3.983 2.171 0.783
O -0.651 4.721 3.627
O 0.638 5.520 0.350
O -0.516 0.483 5.115
O 0.773 2.931 1.837
O 1.102 0.246 2.946
O -0.187 3.167 6.224
O 2.926 4.871 1.878
O 1.637 5.370 5.156
O 3.691 1.457 1.400
O 2.402 1.956 4.678
O 5.515 3.660 0.332
O 4.225 6.581 3.609
O 4.555 3.897 4.718
O 5.844 6.345 1.440
O 4.689 1.308 6.206
O 5.979 2.106 2.928
CELL_PARAMETERS angstrom
7.906 0.000 0.000
0.000 6.828 0.000
-2.579 0.000 6.556
! Relative energy among the computed polymorphs = 0 meV per atom
! Total energy = -6.85 eV per atom

***

No. 3
! PmGeHO4 | the Open Quantum Materials Database | PBE-GGA | optimized geometry; values from VASP
&SYSTEM
  ibrav = 0, nat = 14, ntyp = 4
/
ATOMIC_SPECIES
Pm 145.00 Pm.upf
Ge 72.64 Ge.upf
H 1.01 H.upf
O 16.00 O.upf
ATOMIC_POSITIONS angstrom
Pm 0.091 1.646 1.119
Pm 3.801 4.938 4.126
Ge 1.831 4.938 1.608
Ge 2.062 1.646 3.637
H 2.309 0.000 0.000
H 2.309 3.292 0.000
O 0.310 1.646 3.531
O 1.264 3.619 0.516
O 1.264 6.256 0.516
O 1.326 4.938 3.263
O 2.566 1.646 1.982
O 2.629 0.327 4.729
O 2.629 2.965 4.729
O 3.583 4.938 1.713
CELL_PARAMETERS angstrom
4.617 0.000 0.000
0.000 6.583 0.000
-0.725 0.000 5.245
! Relative energy among the computed polymorphs = 53 meV per atom
! Total energy = -6.80 eV per atom

***

No. 4
! SmGeHO4 | the Open Quantum Materials Database | PBE-GGA | optimized geometry; values from VASP
&SYSTEM
  ibrav = 0, nat = 28, ntyp = 4
/
ATOMIC_SPECIES
Sm 150.36 Sm.upf
Ge 72.64 Ge.upf
H 1.01 H.upf
O 16.00 O.upf
ATOMIC_POSITIONS angstrom
Sm 1.388 0.940 0.706
Sm 0.087 2.460 3.967
Sm 5.229 4.339 2.555
Sm 3.928 5.859 5.816
Ge 1.586 4.141 0.852
Ge 0.285 6.058 4.113
Ge 5.031 0.741 2.409
Ge 3.730 2.658 5.670
H 1.329 4.613 5.732
H 2.630 5.586 2.471
H 2.686 1.214 4.051
H 3.987 2.186 0.790
O -0.664 4.696 3.596
O 0.637 5.503 0.335
O -0.490 0.485 5.088
O 0.811 2.915 1.827
O 1.088 0.240 2.898
O -0.213 3.160 6.159
O 2.939 4.877 1.853
O 1.638 5.322 5.114
O 3.678 1.477 1.408
O 2.377 1.922 4.669
O 5.529 3.639 0.363
O 4.228 6.559 3.624
O 4.505 3.884 4.695
O 5.806 6.314 1.434
O 4.679 1.296 6.187
O 5.980 2.103 2.926
CELL_PARAMETERS angstrom
7.918 0.000 0.000
0.000 6.799 0.000
-2.602 0.000 6.522
! Relative energy among the computed polymorphs = 0 meV per atom
! Total energy = -6.85 eV per atom

***

No. 5
! SmGeHO4 | the Open Quantum Materials Database | PBE-GGA | optimized geometry; values from VASP
&SYSTEM
  ibrav = 0, nat = 28, ntyp = 4
/
ATOMIC_SPECIES
Sm 150.36 Sm.upf
Ge 72.64 Ge.upf
H 1.01 H.upf
O 16.00 O.upf
ATOMIC_POSITIONS angstrom
Sm 1.611 0.823 0.690
Sm 0.228 2.417 4.110
Sm 4.714 4.062 2.730
Sm 3.331 5.656 6.150
Ge 1.478 4.061 0.979
Ge 0.095 5.657 4.399
Ge 4.847 0.822 2.441
Ge 3.464 2.418 5.861
H 0.337 3.798 6.201
H 1.720 5.920 2.781
H 3.222 0.559 4.059
H 4.605 2.680 0.639
O -0.986 4.484 3.715
O 0.398 5.234 0.295
O -0.462 0.518 5.356
O 0.922 2.721 1.936
O 0.940 0.063 3.027
O -0.443 3.177 6.447
O 1.295 4.636 5.191
O 2.678 5.082 1.771
O 2.264 1.397 5.069
O 3.647 1.842 1.649
O 5.385 3.302 0.393
O 4.002 6.416 3.813
O 4.020 3.758 4.904
O 5.404 5.961 1.484
O 4.544 1.245 6.545
O 5.928 1.995 3.125
CELL_PARAMETERS angstrom
7.708 0.000 0.000
0.000 6.479 0.000
-2.766 0.000 6.840
! Relative energy among the computed polymorphs = 35 meV per atom
! Total energy = -6.82 eV per atom

***

No. 6
! SmGeHO4 | the Open Quantum Materials Database | PBE-GGA | optimized geometry; values from VASP
&SYSTEM
  ibrav = 0, nat = 28, ntyp = 4
/
ATOMIC_SPECIES
Sm 150.36 Sm.upf
Ge 72.64 Ge.upf
H 1.01 H.upf
O 16.00 O.upf
ATOMIC_POSITIONS angstrom
Sm 1.935 1.685 0.983
Sm 2.663 5.056 3.569
Sm 6.532 1.685 1.603
Sm 7.260 5.056 4.188
Ge 0.381 5.056 1.100
Ge 4.216 1.685 3.685
Ge 4.979 5.056 1.486
Ge 8.814 1.685 4.072
H 0.000 0.000 2.586
H 0.000 3.370 2.586
H 4.597 0.000 0.000
H 4.597 3.370 0.000
O 0.615 5.056 4.545
O 1.040 3.657 2.006
O 1.040 6.454 2.006
O 1.360 1.685 3.909
O 3.238 5.056 1.324
O 3.557 0.287 4.592
O 3.557 3.083 4.592
O 3.982 1.685 1.959
O 5.213 5.056 3.212
O 5.638 3.657 0.580
O 5.638 6.454 0.580
O 5.957 1.685 3.848
O 7.835 5.056 1.262
O 8.155 0.287 3.165
O 8.155 3.083 3.165
O 8.580 1.685 0.627
CELL_PARAMETERS angstrom
9.195 0.000 0.000
0.000 6.741 0.000
0.000 0.000 5.171
! Relative energy among the computed polymorphs = 97 meV per atom
! Total energy = -6.76 eV per atom